No. 1
The following is a PBE-GGA calculation of FeHgRh2 after structural relaxation, from Alexandria via LeMat-Bulk.

Unit cell a=3.9152 b=3.9152 c=8.0457 alpha=90.00 beta=90.00 gamma=90.00
Space group I-4m2 (No. 119)
Unique sites:
Fe 0.0000 0.0000 0.0000
Hg 0.0000 0.5000 0.2500
Rh 0.0000 0.0000 0.5000
Rh 0.0000 0.5000 0.7500

Values from the calculation:
For the total magnetization, the calculation gives 7.8 μB/cell. Its mass density is 12447 kg/m3. Its crystal system is tetragonal. The calculation puts the density of states at the Fermi level at 10.39 states/eV/cell. As for the energy relative to the elements: 0.19 eV per atom. The final energy comes out at -0.208 hartree per atom.

---

No. 2
The following is a PBE-GGA calculation of DyB2RuRh after structural relaxation, from Alexandria via LeMat-Bulk.

Unit cell a=3.9087 b=3.9087 c=9.3591 alpha=90.00 beta=90.00 gamma=90.00
Space group I-4m2 (No. 119)
Unique sites:
Dy 0.0000 0.0000 0.0000
B 0.0000 0.0000 0.3409
Ru 0.0000 0.5000 0.7500
Rh 0.0000 0.5000 0.2500

Values from the calculation:
For the total magnetization, the calculation gives 0.0 μB/cell. Its mass density is 9014 kg/m3. Its crystal system is tetragonal. The calculation puts the density of states at the Fermi level at 1.53 states/eV/cell. As for the energy relative to the elements: -0.60 eV per atom. The final energy comes out at -0.276 hartree per atom.

---

No. 3
The following is a PBE-GGA calculation of CuTcAsRh after structural relaxation, from Alexandria via LeMat-Bulk.

Unit cell a=6.0369 b=6.0369 c=6.0369 alpha=90.00 beta=90.00 gamma=90.00
Space group F-43m (No. 216)
Unique sites:
Cu 0.0000 0.0000 0.0000
Tc 0.2500 0.2500 0.2500
As 0.0000 0.0000 0.5000
Rh 0.2500 0.2500 0.7500

Values from the calculation:
For the total magnetization, the calculation gives 0.0 μB/cell. Its mass density is 10246 kg/m3. Its crystal system is cubic. The calculation puts the density of states at the Fermi level at 13.94 states/eV/cell. As for the energy relative to the elements: -0.05 eV per atom. The final energy comes out at -0.245 hartree per atom.

---

No. 4
The following is a PBE-GGA calculation of CdSnSe2 after structural relaxation, from Alexandria via LeMat-Bulk.

Unit cell a=3.8394 b=3.8394 c=29.0949 alpha=90.00 beta=90.00 gamma=120.00
Space group R-3m (No. 166, hexagonal axes)
Unique sites:
Cd 0.0000 0.0000 0.0000
Sn 0.0000 0.0000 0.5000
Se 0.0000 0.0000 0.1104

Values from the calculation:
For the total magnetization, the calculation gives 0.0 μB/cell. Its mass density is 5218 kg/m3. Its crystal system is trigonal. The calculation puts the density of states at the Fermi level at 3.74 states/eV/cell. The final energy comes out at -0.115 hartree per atom. As for the formation energy without anion corrections: -0.145 eV per atom.

---

No. 5
The following is a PBE-GGA calculation of LaTl2Cl after structural relaxation, from Alexandria via LeMat-Bulk.

Unit cell a=4.8048 b=4.8048 c=5.7993 alpha=90.00 beta=90.00 gamma=90.00
Space group P4/mmm (No. 123)
Unique sites:
La 0.0000 0.0000 0.0000
Tl 0.5000 0.5000 0.2437
Cl 0.0000 0.0000 0.5000

Values from the calculation:
For the total magnetization, the calculation gives 0.0 μB/cell. Its mass density is 7233 kg/m3. Its crystal system is tetragonal. The calculation puts the density of states at the Fermi level at 7.01 states/eV/cell. The final energy comes out at -0.125 hartree per atom. The relative energy among the computed polymorphs comes out at 0.282 eV/atom. As for the formation energy without anion corrections: -0.517 eV per atom.

---

No. 6
The following is a PBE-GGA calculation of NaZnTe2I after structural relaxation, from Alexandria via LeMat-Bulk.

Unit cell a=5.2224 b=5.2224 c=6.6502 alpha=90.00 beta=90.00 gamma=90.00
Space group P4/mmm (No. 123)
Unique sites:
Na 0.0000 0.0000 0.0000
Zn 0.5000 0.5000 0.5000
Te 0.0000 0.5000 0.5000
I 0.5000 0.5000 0.0000

Values from the calculation:
For the total magnetization, the calculation gives 0.0 μB/cell. Its mass density is 4308 kg/m3. Its crystal system is tetragonal. The calculation puts the density of states at the Fermi level at 7.15 states/eV/cell. The final energy comes out at -0.083 hartree per atom. The relative energy among the computed polymorphs comes out at 0.000 eV/atom. As for the formation energy without anion corrections: -0.163 eV per atom.

---

No. 7
The following is a PBE-GGA calculation of La3Ga3Au after structural relaxation, from Alexandria via LeMat-Bulk.

Unit cell a=11.1235 b=4.6384 c=15.1734 alpha=90.00 beta=110.61 gamma=90.00
Space group C2/m (No. 12)
Unique sites:
La 0.0135 0.0000 0.2689
La 0.1681 0.5000 0.1166
La 0.1818 0.0000 0.5719
Ga 0.0255 0.5000 0.4223
Ga 0.0859 0.0000 0.9601
Ga 0.1929 0.5000 0.7239
Au 0.1311 0.5000 0.8875

Values from the calculation:
For the total magnetization, the calculation gives 0.0 μB/cell. Its mass density is 7459 kg/m3. Its crystal system is monoclinic. The calculation puts the density of states at the Fermi level at 20.11 states/eV/cell. As for the energy relative to the elements: -0.68 eV per atom. The final energy comes out at -0.167 hartree per atom.

---

No. 8
The following is a PBE-GGA calculation of Eu4Se2N after structural relaxation, from Alexandria via LeMat-Bulk.

Unit cell a=4.9286 b=4.9286 c=15.4119 alpha=90.00 beta=90.00 gamma=90.00
Space group I4/mmm (No. 139)
Unique sites:
Eu 0.0000 0.0000 0.1681
Eu 0.0000 0.5000 0.0000
Se 0.0000 0.0000 0.3664
N 0.0000 0.0000 0.0000

Values from the calculation:
For the total magnetization, the calculation gives 0.8 μB/cell. Its mass density is 6917 kg/m3. Its crystal system is tetragonal. The calculation puts the density of states at the Fermi level at 4.69 states/eV/cell. The final energy comes out at -0.343 hartree per atom. As for the formation energy without anion corrections: -1.284 eV per atom.

---

No. 9
The following is a PBE-GGA calculation of MgTaAs2 after structural relaxation, from Alexandria via LeMat-Bulk.

Unit cell a=6.6423 b=6.6423 c=6.6423 alpha=90.00 beta=90.00 gamma=90.00
Space group F-43m (No. 216)
Unique sites:
Mg 0.0000 0.0000 0.0000
Ta 0.2500 0.2500 0.2500
As 0.0000 0.0000 0.5000
As 0.2500 0.2500 0.7500

Values from the calculation:
For the total magnetization, the calculation gives 2.9 μB/cell. Its mass density is 8048 kg/m3. Its crystal system is cubic. The calculation puts the density of states at the Fermi level at 15.65 states/eV/cell. As for the energy relative to the elements: 0.48 eV per atom. The final energy comes out at -0.191 hartree per atom.

---

No. 10
The following is a PBE-GGA calculation of CsCuBr4 after structural relaxation, from Alexandria via LeMat-Bulk.

Unit cell a=10.3695 b=5.8003 c=8.5254 alpha=90.00 beta=115.09 gamma=90.00
Space group C2/m (No. 12)
Unique sites:
Cs 0.0000 0.0000 0.0000
Cu 0.0000 0.5000 0.5000
Br 0.1067 0.5000 0.8076
Br 0.2446 0.5000 0.4995

Values from the calculation:
For the total magnetization, the calculation gives 2.0 μB/cell. Its mass density is 3691 kg/m3. Its crystal system is monoclinic. The calculation puts the density of states at the Fermi level at 3.77 states/eV/cell. The final energy comes out at -0.097 hartree per atom. As for the formation energy without anion corrections: -0.702 eV per atom.

---

No. 11
The following is a PBE-GGA calculation of Tb2Pt4Au after structural relaxation, from Alexandria via LeMat-Bulk.

Unit cell a=5.5768 b=9.0572 c=11.2354 alpha=90.00 beta=90.00 gamma=90.00
Space group Fmmm (No. 69)
Unique sites:
Tb 0.0000 0.0000 0.1446
Pt 0.2500 0.2500 0.0000
Pt 0.2500 0.2500 0.2500
Au 0.0000 0.0000 0.5000

Values from the calculation:
For the total magnetization, the calculation gives 0.0 μB/cell. Its mass density is 15159 kg/m3. Its crystal system is orthorhombic. The calculation puts the density of states at the Fermi level at 18.17 states/eV/cell. As for the energy relative to the elements: -0.76 eV per atom. The final energy comes out at -0.220 hartree per atom. The relative energy among the computed polymorphs comes out at 0.127 eV/atom.

---

No. 12
The following is a PBE-GGA calculation of BeNi2W after structural relaxation, from Alexandria via LeMat-Bulk.

Unit cell a=8.3348 b=2.5993 c=4.4388 alpha=90.00 beta=100.58 gamma=90.00
Space group Cm (No. 8)
Unique sites:
Be 0.0000 0.0000 0.0000
Ni 0.2351 0.5000 0.1615
Ni 0.4864 0.0000 0.4466
W 0.2398 0.0000 0.6704

Values from the calculation:
For the total magnetization, the calculation gives 0.0 μB/cell. Its mass density is 10899 kg/m3. Its crystal system is monoclinic. The calculation puts the density of states at the Fermi level at 4.59 states/eV/cell. As for the energy relative to the elements: 0.02 eV per atom. The final energy comes out at -0.259 hartree per atom.

---

No. 13
The following is a PBE-GGA calculation of PuGaBi2 after structural relaxation, from Alexandria via LeMat-Bulk.

Unit cell a=4.7930 b=4.7930 c=4.6770 alpha=90.00 beta=90.00 gamma=90.00
Space group P4/mmm (No. 123)
Unique sites:
Pu 0.0000 0.0000 0.0000
Ga 0.5000 0.5000 0.0000
Bi 0.0000 0.5000 0.5000

Values from the calculation:
For the total magnetization, the calculation gives 5.6 μB/cell. Its mass density is 11308 kg/m3. Its crystal system is tetragonal. The calculation puts the density of states at the Fermi level at 9.93 states/eV/cell. As for the energy relative to the elements: -0.25 eV per atom. The final energy comes out at -0.240 hartree per atom. The relative energy among the computed polymorphs comes out at 0.000 eV/atom.

---

No. 14
The following is a PBE-GGA calculation of LiPmSc after structural relaxation, from Alexandria via LeMat-Bulk.

Unit cell a=3.6104 b=3.6104 c=11.7825 alpha=90.00 beta=90.00 gamma=90.00
Space group I4mm (No. 107)
Unique sites:
Li 0.0000 0.0000 0.0000
Pm 0.0000 0.0000 0.6719
Sc 0.0000 0.0000 0.3640

Values from the calculation:
For the total magnetization, the calculation gives 0.0 μB/cell. Its mass density is 4258 kg/m3. Its crystal system is tetragonal. The calculation puts the density of states at the Fermi level at 7.99 states/eV/cell. As for the energy relative to the elements: 0.11 eV per atom. The final energy comes out at -0.155 hartree per atom. The relative energy among the computed polymorphs comes out at 0.000 eV/atom.

---

No. 15
The following is a PBE-GGA calculation of ReTeRh2C after structural relaxation, from Alexandria via LeMat-Bulk.

Unit cell a=4.2172 b=4.2172 c=4.1480 alpha=90.00 beta=90.00 gamma=90.00
Space group P4/mmm (No. 123)
Unique sites:
Re 0.0000 0.0000 0.0000
Te 0.5000 0.5000 0.0000
Rh 0.0000 0.5000 0.5000
C 0.0000 0.0000 0.5000

Values from the calculation:
For the total magnetization, the calculation gives 0.0 μB/cell. Its mass density is 11967 kg/m3. Its crystal system is tetragonal. The calculation puts the density of states at the Fermi level at 7.42 states/eV/cell. The final energy comes out at -0.274 hartree per atom. As for the formation energy without anion corrections: 0.449 eV per atom.

---

No. 16
The following is a PBE-GGA calculation of BeI2N after structural relaxation, from Alexandria via LeMat-Bulk.

Unit cell a=7.0824 b=7.0824 c=7.0824 alpha=90.00 beta=90.00 gamma=90.00
Space group Fm-3m (No. 225)
Unique sites:
Be 0.0000 0.0000 0.0000
I 0.2500 0.2500 0.2500
N 0.0000 0.0000 0.5000

Values from the calculation:
For the total magnetization, the calculation gives 11.6 μB/cell. Its mass density is 5176 kg/m3. Its crystal system is cubic. The calculation puts the density of states at the Fermi level at 5.91 states/eV/cell. The final energy comes out at -0.077 hartree per atom. The relative energy among the computed polymorphs comes out at 0.763 eV/atom. As for the formation energy without anion corrections: 1.680 eV per atom.

---

No. 17
The following is a PBE-GGA calculation of TiPdPb2O5 after structural relaxation, from Alexandria via LeMat-Bulk.

Unit cell a=3.1043 b=16.4026 c=10.6040 alpha=90.00 beta=90.00 gamma=90.00
Space group Cmc2_1 (No. 36)
Unique sites:
Ti 0.0000 0.2258 0.0000
Pd 0.0000 0.4539 0.4411
Pb 0.0000 0.1136 0.2733
Pb 0.0000 0.1380 0.6842
O 0.0000 0.0957 0.0437
O 0.0000 0.2800 0.6308
O 0.0000 0.2850 0.3864
O 0.0000 0.3391 0.0170
O 0.0000 0.4963 0.7678

Values from the calculation:
For the total magnetization, the calculation gives 0.0 μB/cell. Its mass density is 7980 kg/m3. Its crystal system is orthorhombic. The calculation puts the density of states at the Fermi level at 11.32 states/eV/cell. The final energy comes out at -0.235 hartree per atom. As for the formation energy without anion corrections: -1.373 eV per atom.

---

No. 18
The following is a PBE-GGA calculation of RbYHf after structural relaxation, from Alexandria via LeMat-Bulk.

Unit cell a=3.4377 b=5.3831 c=14.4751 alpha=92.60 beta=91.09 gamma=108.04
Space group P1 (No. 1)
Unique sites:
Rb 0.0000 0.0000 0.0000
Rb 0.3539 0.5446 0.2784
Y 0.0904 0.0652 0.4882
Y 0.3171 0.4773 0.7900
Hf 0.5727 0.0039 0.6707
Hf 0.8347 0.5385 0.6075

Values from the calculation:
For the total magnetization, the calculation gives 0.0 μB/cell. Its mass density is 4609 kg/m3. Its crystal system is triclinic. The calculation puts the density of states at the Fermi level at 8.27 states/eV/cell. As for the energy relative to the elements: 0.38 eV per atom. The final energy comes out at -0.199 hartree per atom. The relative energy among the computed polymorphs comes out at 0.132 eV/atom.

---

No. 19
The following is a PBE-GGA calculation of CaSn3Rh after structural relaxation, from Alexandria via LeMat-Bulk.

Unit cell a=5.1931 b=5.1931 c=5.1931 alpha=90.00 beta=90.00 gamma=90.00
Space group Pm-3m (No. 221)
Unique sites:
Ca 0.0000 0.0000 0.0000
Sn 0.0000 0.5000 0.5000
Rh 0.5000 0.5000 0.5000

Values from the calculation:
For the total magnetization, the calculation gives 0.0 μB/cell. Its mass density is 5918 kg/m3. Its crystal system is cubic. The calculation puts the density of states at the Fermi level at 3.24 states/eV/cell. As for the energy relative to the elements: -0.19 eV per atom. The final energy comes out at -0.164 hartree per atom.

---

No. 20
The following is a PBE-GGA calculation of Zr3TiGa after structural relaxation, from Alexandria via LeMat-Bulk.

Unit cell a=8.8257 b=5.4325 c=8.9669 alpha=90.00 beta=90.08 gamma=90.00
Space group P2_1/c (No. 14)
Unique sites:
Zr 0.0615 0.2215 0.1211
Zr 0.2612 0.5105 0.8736
Zr 0.4047 0.0140 0.6988
Ti 0.3619 0.0054 0.0491
Ga 0.1245 0.7208 0.1305

Values from the calculation:
For the total magnetization, the calculation gives 0.0 μB/cell. Its mass density is 6045 kg/m3. Its crystal system is monoclinic. The calculation puts the density of states at the Fermi level at 25.06 states/eV/cell. As for the energy relative to the elements: -0.06 eV per atom. The final energy comes out at -0.271 hartree per atom. The relative energy among the computed polymorphs comes out at 0.000 eV/atom.